An optimized crystal structure of Ho5Tl2N. Source: the Alexandria database, functional PBE.

Properties
DFT total energy: -76.1 eV for the cell shown
formation energy (no corrections): -0.265 eV per atom
symmetry: No. 63
magnetic moment: 0.000 μB/cell

Lattice parameters (Å, degrees): 9.1019 9.1019 14.4991 90.00 90.00 156.41
With the nearest neighbours (Å) after each atom.
Atoms (fractional coordinates):
Ho1 0.1066 0.8934 0.6199  1 N 2.20
Ho2 0.1066 0.8934 0.8801  1 N 2.20
Ho3 0.2601 0.7399 0.2500  2 N 2.24
Ho4 0.3081 0.6919 0.5550  2 Tl 3.17, 4 Ho 3.21-3.49
Ho5 0.3081 0.6919 0.9450  2 Tl 3.17, 4 Ho 3.21-3.49
Ho6 0.6919 0.3081 0.0550  2 Tl 3.17, 4 Ho 3.21-3.49
Ho7 0.6919 0.3081 0.4450  2 Tl 3.17, 4 Ho 3.21-3.49
Ho8 0.7399 0.2601 0.7500  2 N 2.24
Ho9 0.8934 0.1066 0.1199  1 N 2.20
Ho10 0.8934 0.1066 0.3801  1 N 2.20
Tl1 0.0681 0.9319 0.1454  1 Tl 3.03, 3 Ho 3.14-3.17
Tl2 0.0681 0.9319 0.3546  1 Tl 3.03, 3 Ho 3.14-3.17
Tl3 0.9319 0.0681 0.6454  1 Tl 3.03, 3 Ho 3.14-3.17
Tl4 0.9319 0.0681 0.8546  1 Tl 3.03, 3 Ho 3.14-3.17
N1 0.1703 0.8297 0.7500  4 Ho 2.20-2.24
N2 0.8297 0.1703 0.2500  4 Ho 2.20-2.24


An optimized crystal structure of Ho3Tl2N. Source: the Alexandria database, functional PBE.

Properties
DFT total energy: -61.1 eV for the cell shown
formation energy (no corrections): -0.626 eV per atom
symmetry: No. 15
magnetic moment: 0.000 μB/cell

Lattice parameters (Å, degrees): 8.0021 8.0021 6.9769 102.65 102.65 41.26
With the nearest neighbours (Å) after each atom.
Atoms (fractional coordinates):
Ho1 0.0051 0.9949 0.7500  2 N 2.75-2.89
Ho2 0.3908 0.3940 0.4456  2 N 2.34-2.35
Ho3 0.3940 0.3908 0.9456  2 N 2.34-2.35
Ho4 0.6060 0.6092 0.0544  2 N 2.34-2.35
Ho5 0.6092 0.6060 0.5544  2 N 2.34-2.35
Ho6 0.9949 0.0051 0.2500  2 N 2.75-2.89
Tl1 0.1991 0.2025 0.0993  6 Ho 3.13-3.41, 2 Tl 3.49
Tl2 0.2025 0.1991 0.5993  6 Ho 3.13-3.41, 2 Tl 3.49
Tl3 0.7975 0.8009 0.4007  6 Ho 3.13-3.41, 2 Tl 3.49
Tl4 0.8009 0.7975 0.9007  6 Ho 3.13-3.41, 2 Tl 3.49
N1 0.4921 0.5079 0.7500  4 Ho 2.34-2.35
N2 0.5079 0.4921 0.2500  4 Ho 2.34-2.35


An optimized crystal structure of HoTlN. Source: the Alexandria database, functional PBE.

Properties
DFT total energy: -35.5 eV for the cell shown
formation energy (no corrections): -0.826 eV per atom
symmetry: No. 59
magnetic moment: 0.000 μB/cell

Lattice parameters (Å, degrees): 4.0321 4.8472 6.3623 90.00 90.00 90.00
With the nearest neighbours (Å) after each atom.
Atoms (fractional coordinates):
Ho1 0.2500 0.2500 0.0961  4 N 2.28-2.43
Ho2 0.7500 0.7500 0.9039  4 N 2.28-2.43
Tl1 0.2500 0.7500 0.4618  1 N 2.49
Tl2 0.7500 0.2500 0.5382  1 N 2.49
N1 0.2500 0.7500 0.0702  4 Ho 2.28-2.43, 1 Tl 2.49
N2 0.7500 0.2500 0.9298  4 Ho 2.28-2.43, 1 Tl 2.49


An optimized crystal structure of Ho7Tl4N. Source: the Alexandria database, functional PBE.

Properties
DFT total energy: -53.3 eV for the cell shown
formation energy (no corrections): -0.292 eV per atom
symmetry: No. 12
magnetic moment: 0.000 μB/cell

Lattice parameters (Å, degrees): 8.7354 8.7354 11.0686 127.67 127.67 32.21
With the nearest neighbours (Å) after each atom.
Atoms (fractional coordinates):
Ho1 0.0000 0.0000 0.0000  2 N 2.42
Ho2 0.1228 0.1228 0.5430  5 Tl 3.10-3.25
Ho3 0.2788 0.2788 0.1473  4 Tl 3.08-3.15
Ho4 0.4494 0.4494 0.7623  1 N 2.19
Ho5 0.5506 0.5506 0.2377  1 N 2.19
Ho6 0.7212 0.7212 0.8527  4 Tl 3.08-3.15
Ho7 0.8772 0.8772 0.4570  5 Tl 3.10-3.25
Tl1 0.0869 0.0869 0.7941  8 Ho 3.08-3.40
Tl2 0.2257 0.2257 0.3741  8 Ho 3.15-3.47, 2 Tl 3.38
Tl3 0.7743 0.7743 0.6259  8 Ho 3.15-3.47, 2 Tl 3.38
Tl4 0.9131 0.9131 0.2059  8 Ho 3.08-3.40
N1 0.5000 0.5000 0.0000  4 Ho 2.19-2.42


An optimized crystal structure of Ho6Tl3N. Source: the Alexandria database, functional PBE.

Properties
DFT total energy: -47.2 eV for the cell shown
formation energy (no corrections): -0.428 eV per atom
symmetry: No. 12
magnetic moment: 0.008 μB/cell

Lattice parameters (Å, degrees): 6.6446 6.6446 7.0610 100.61 100.61 60.92
With the nearest neighbours (Å) after each atom.
Atoms (fractional coordinates):
Ho1 0.1387 0.6570 0.6420  1 N 2.35
Ho2 0.1640 0.1640 0.8309  1 N 2.67
Ho3 0.3430 0.8613 0.3580  1 N 2.35
Ho4 0.6570 0.1387 0.6420  1 N 2.35
Ho5 0.8360 0.8360 0.1691  1 N 2.67
Ho6 0.8613 0.3430 0.3580  1 N 2.35
Tl1 0.3240 0.3240 0.2688  1 Tl 3.05, 5 Ho 3.12-3.24
Tl2 0.5000 0.5000 0.0000  2 Tl 3.05, 4 Ho 3.09
Tl3 0.6760 0.6760 0.7312  1 Tl 3.05, 5 Ho 3.12-3.24
N1 0.0000 0.0000 0.5000  4 Ho 2.35


An optimized crystal structure of HoTm2TlN. Source: the Alexandria database, functional PBE.

Properties
DFT total energy: -29.0 eV for the cell shown
formation energy (no corrections): -0.954 eV per atom
symmetry: No. 123
magnetic moment: 0.000 μB/cell

Lattice parameters (Å, degrees): 4.7380 4.7380 4.7888 90.00 90.00 90.00
With the nearest neighbours (Å) after each atom.
Atoms (fractional coordinates):
Ho1 0.0000 0.0000 0.0000  2 N 2.39
Tm1 0.0000 0.5000 0.5000  2 N 2.37
Tm2 0.5000 0.0000 0.5000  2 N 2.37
Tl1 0.5000 0.5000 0.0000  4 Ho 3.35, 8 Tm 3.37
N1 0.0000 0.0000 0.5000  4 Tm 2.37, 2 Ho 2.39


An optimized crystal structure of HoTm3N4. Source: the Alexandria database, functional PBE.

Properties
DFT total energy: -65.7 eV for the cell shown
formation energy (no corrections): -1.806 eV per atom
symmetry: No. 221
magnetic moment: 0.000 μB/cell

Lattice parameters (Å, degrees): 4.8295 4.8295 4.8295 90.00 90.00 90.00
With the nearest neighbours (Å) after each atom.
Atoms (fractional coordinates):
Ho1 0.0000 0.0000 0.0000  6 N 2.41
Tm1 0.0000 0.5000 0.5000  6 N 2.41
Tm2 0.5000 0.0000 0.5000  6 N 2.41
Tm3 0.5000 0.5000 0.0000  6 N 2.41
N1 0.0000 0.0000 0.5000  2 Ho 2.41, 4 Tm 2.41
N2 0.0000 0.5000 0.0000  2 Ho 2.41, 4 Tm 2.41
N3 0.5000 0.0000 0.0000  2 Ho 2.41, 4 Tm 2.41
N4 0.5000 0.5000 0.5000  6 Tm 2.41


An optimized crystal structure of Ho2Tm4N. Source: the Alexandria database, functional PBE.

Properties
DFT total energy: -37.4 eV for the cell shown
formation energy (no corrections): -0.284 eV per atom
symmetry: No. 139
magnetic moment: 0.000 μB/cell

Lattice parameters (Å, degrees): 9.3409 9.3409 9.3409 150.92 150.92 41.60
With the nearest neighbours (Å) after each atom.
Atoms (fractional coordinates):
Ho1 0.1702 0.1702 0.0000  9 Tm 3.38-3.79
Ho2 0.8298 0.8298 0.0000  9 Tm 3.38-3.79
Tm1 0.0000 0.5000 0.5000  2 N 2.35
Tm2 0.3676 0.3676 0.0000  1 N 2.31
Tm3 0.5000 0.0000 0.5000  2 N 2.35
Tm4 0.6324 0.6324 0.0000  1 N 2.31
N1 0.5000 0.5000 0.0000  6 Tm 2.31-2.35


Q: Number 4 is which compound?
A: Ho7Tl4N


Q: What is the DFT total energy in the fifth record?
A: -47.2 eV for the cell shown


Q: The highest magnetic moment belongs to which entry?
A: Ho6Tl3N


Q: Which value of DFT total energy does entry 5 give?
A: -47.2 eV for the cell shown